Here is BaCdSi3 after structural relaxation from Alexandria via LeMat-Bulk. Energies are from PBE.

Unit cell a=5.701 b=5.701 c=5.701 alpha=90.00 beta=90.00 gamma=90.00
Sites, in units of the cell vectors:
Ba  0.000  0.000  0.000
Cd  0.500  0.500  0.500
Si  0.000  0.000  0.500
Si  0.000  0.500  0.000
Si  0.500  0.000  0.000

## Properties
For the total energy, the calculation gives -2.1061 eV/atom. The value obtained for the energy above the most stable polymorph in this dataset is 1122 meV/atom. The calculation puts the density of states at the Fermi level at 8.67 states/eV per cell. Its space group is Pm-3m, No. 221. Its volume is 37.06 Å³ per atom.